Record 1
RbCdIn | the Alexandria database | GGA-PBE | relaxed; crystal system = hexagonal; DFT formation energy = -0.018 eV per atom; energy above the lowest structure with this stoichiometry = 60 meV/atom; DFT total energy = -4.7 eV/f.u.; D(E_F) = 0.73 states/eV/atom; magnetization = 0.000 Bohr magnetons per cell
1.0
-2.1537 -2.2198 3.6538
-2.3827 -3.2364 -3.3706
4.6842 -1.2700 1.9894
Cd Rb In
1 1 1
Direct
0.1667 0.3333 0.6667 Cd
0.6667 0.6667 0.3333 Rb
0.1666 0.0000 0.0000 In

Record 2
Rb2Cd5In3 | the Alexandria database | GGA-PBE | relaxed; crystal system = orthorhombic; DFT formation energy = -0.063 eV per atom; energy above the lowest structure with this stoichiometry = 3 meV/atom; DFT total energy = -15.4 eV/f.u.; D(E_F) = 0.48 states/eV/atom; magnetization = 0.000 Bohr magnetons per cell
1.0
-6.7018 0.3542 2.2179
-5.1162 -8.2800 -2.8748
-1.2779 -5.6853 8.3092
Rb Cd In
4 10 6
Direct
0.1292 0.6036 0.1379 Rb
0.6292 0.1379 0.6036 Rb
0.8708 0.3964 0.8621 Rb
0.3708 0.8621 0.3964 Rb
0.3904 0.2633 0.9558 Cd
0.8904 0.9558 0.2633 Cd
0.6096 0.7367 0.0442 Cd
0.1096 0.0442 0.7367 Cd
0.4683 0.7817 0.7817 Cd
0.5317 0.2183 0.2183 Cd
0.7500 0.5000 0.5000 Cd
0.2500 0.5000 0.5000 Cd
0.0317 0.2183 0.2183 Cd
0.9683 0.7817 0.7817 Cd
0.3588 0.5359 0.7464 In
0.8588 0.7464 0.5359 In
0.6412 0.4641 0.2536 In
0.1412 0.2536 0.4641 In
0.2500 0.0000 0.0000 In
0.7500 0.0000 0.0000 In

Record 3
Rb2Cd3In6 | the Alexandria database | GGA-PBE | relaxed; crystal system = hexagonal; DFT formation energy = -0.069 eV per atom; DFT total energy = -21.9 eV/f.u.; D(E_F) = 0.67 states/eV/atom; magnetization = 0.000 Bohr magnetons per cell
1.0
-0.9320 -3.9085 -2.6130
3.5237 4.0972 -7.3854
5.3882 -4.9559 5.4912
Rb Cd In
2 3 6
Direct
0.0000 0.6667 0.3333 Rb
0.0000 0.3333 0.6667 Rb
0.5000 0.3804 0.3804 Cd
0.5000 0.6196 0.0000 Cd
0.5000 0.0000 0.6196 Cd
0.5000 0.7080 0.7080 In
0.5000 0.0000 0.2920 In
0.0000 0.1921 0.1921 In
0.0000 0.8079 0.0000 In
0.5000 0.2920 0.0000 In
0.0000 0.0000 0.8079 In

What is the DFT formation energy in the second record?
-0.063 eV per atom